DFT (GGA-PBEsol) results for an optimized crystal structure of LiMn2Os.

The structure in CIF format:
```
data_LiMn2Os
_chemical_formula_sum 'Li1 Mn2 Os1'
_cell_length_a 2.8229
_cell_length_b 2.8229
_cell_length_c 6.0700
_cell_angle_alpha 90.00
_cell_angle_beta 90.00
_cell_angle_gamma 90.00
_symmetry_space_group_name_H-M 'P 4/m m m'
_symmetry_Int_Tables_number 123
_symmetry_space_group_name_Hall '-P 4 2'
loop_
_atom_site_label
_atom_site_fract_x
_atom_site_fract_y
_atom_site_fract_z
Li1 0.0000 0.0000 0.0000
Mn1 0.5000 0.5000 0.2402
Os1 0.0000 0.0000 0.5000
```

Results
The density is 10541 kg/m³. The value obtained for the volume is 12.1 A^3/atom. For the raw total energy, the calculation gives -8.037 eV per atom.